1.
HfCdGa2Re after structural relaxation. Source: Alexandria, functional PBE-GGA.

E_tot (eV/atom): -5.512

Cell lengths 4.9005, 4.9005, 5.0182 Å; angles 90.00, 90.00, 90.00 degrees
Sites, in units of the cell vectors:
Hf: 0.0000 0.0000 0.0000
Cd: 0.5000 0.5000 0.0000
Ga: 0.0000 0.5000 0.5000
Ga: 0.5000 0.0000 0.5000
Re: 0.0000 0.0000 0.5000

2.
LiAc6CoRh after structural relaxation. Source: Alexandria, functional PBE-GGA.

E_tot (eV/atom): -4.654

Cell lengths 7.4677, 7.4677, 7.2086 Å; angles 90.00, 90.00, 120.00 degrees
Sites, in units of the cell vectors:
Li: 0.0000 0.0000 0.0000
Ac: 0.3677 0.0087 0.7324
Ac: 0.3677 0.3589 0.2676
Ac: 0.6411 0.0087 0.2676
Ac: 0.6411 0.6323 0.7324
Ac: 0.9913 0.3589 0.7324
Ac: 0.9913 0.6323 0.2676
Co: 0.6667 0.3333 0.5000
Rh: 0.3333 0.6667 0.5000

3.
YMgPt6 after structural relaxation. Source: Alexandria, functional PBE-GGA.

E_tot (eV/atom): -6.329

Cell lengths 4.0596, 4.0596, 8.0390 Å; angles 90.00, 90.00, 90.00 degrees
Sites, in units of the cell vectors:
Y: 0.0000 0.0000 0.0000
Mg: 0.0000 0.0000 0.5000
Pt: 0.0000 0.5000 0.2628
Pt: 0.0000 0.5000 0.7372
Pt: 0.5000 0.0000 0.2628
Pt: 0.5000 0.0000 0.7372
Pt: 0.5000 0.5000 0.0000
Pt: 0.5000 0.5000 0.5000

4.
Ba3SrZn after structural relaxation. Source: Alexandria, functional PBE-GGA.

E_tot (eV/atom): -1.752

Cell lengths 8.8514, 8.8514, 9.7742 Å; angles 123.49, 123.49, 73.49 degrees
Sites, in units of the cell vectors:
Ba: 0.0494 0.0494 0.3408
Ba: 0.0494 0.4498 0.2096
Ba: 0.4498 0.0494 0.2096
Ba: 0.5502 0.9506 0.7904
Ba: 0.9506 0.5502 0.7904
Ba: 0.9506 0.9506 0.6592
Sr: 0.4539 0.4539 0.7515
Sr: 0.5461 0.5461 0.2485
Zn: 0.2524 0.2524 0.8590
Zn: 0.7476 0.7476 0.1410

5.
Sc4Al16Fe3 after structural relaxation. Source: Alexandria, functional PBE-GGA.

E_tot (eV/atom): -5.208

Cell lengths 5.9007, 5.9007, 10.9277 Å; angles 90.00, 90.00, 90.00 degrees
Sites, in units of the cell vectors:
Sc: 0.0000 0.5000 0.1909
Sc: 0.0000 0.5000 0.8091
Sc: 0.5000 0.0000 0.1909
Sc: 0.5000 0.0000 0.8091
Al: 0.0000 0.0000 0.1940
Al: 0.0000 0.0000 0.8060
Al: 0.2258 0.2258 0.0000
Al: 0.2258 0.7742 0.0000
Al: 0.2503 0.2503 0.3816
Al: 0.2503 0.2503 0.6184
Al: 0.2503 0.7497 0.3816
Al: 0.2503 0.7497 0.6184
Al: 0.5000 0.5000 0.2103
Al: 0.5000 0.5000 0.7897
Al: 0.7497 0.2503 0.3816
Al: 0.7497 0.2503 0.6184
Al: 0.7497 0.7497 0.3816
Al: 0.7497 0.7497 0.6184
Al: 0.7742 0.2258 0.0000
Al: 0.7742 0.7742 0.0000
Fe: 0.0000 0.5000 0.5000
Fe: 0.5000 0.0000 0.5000
Fe: 0.5000 0.5000 0.0000

6.
Cs2Ga2Ge after structural relaxation. Source: Alexandria, functional PBE-GGA.

E_tot (eV/atom): -2.375

Cell lengths 7.1799, 7.1799, 6.3359 Å; angles 90.00, 90.00, 90.00 degrees
Sites, in units of the cell vectors:
Cs: 0.1866 0.3134 0.0000
Cs: 0.3134 0.8134 0.0000
Cs: 0.6866 0.1866 0.0000
Cs: 0.8134 0.6866 0.0000
Ga: 0.1302 0.6302 0.5000
Ga: 0.3698 0.1302 0.5000
Ga: 0.6302 0.8698 0.5000
Ga: 0.8698 0.3698 0.5000
Ge: 0.0000 0.0000 0.5000
Ge: 0.5000 0.5000 0.5000

7.
CsDy2AgSe4 after structural relaxation. Source: Alexandria, functional PBE-GGA.

E_tot (eV/atom): -4.809

Cell lengths 7.6362, 7.6362, 14.9083 Å; angles 90.00, 90.00, 147.60 degrees
Sites, in units of the cell vectors:
Cs: 0.1171 0.8829 0.7500
Cs: 0.8829 0.1171 0.2500
Dy: 0.3693 0.6307 0.5657
Dy: 0.3693 0.6307 0.9343
Dy: 0.6307 0.3693 0.0657
Dy: 0.6307 0.3693 0.4343
Ag: 0.1666 0.8334 0.2500
Ag: 0.8334 0.1666 0.7500
Se: 0.0000 0.0000 0.0000
Se: 0.0000 0.0000 0.5000
Se: 0.2572 0.7428 0.0974
Se: 0.2572 0.7428 0.4026
Se: 0.4357 0.5643 0.7500
Se: 0.5643 0.4357 0.2500
Se: 0.7428 0.2572 0.5974
Se: 0.7428 0.2572 0.9026

8.
MoAsPS2 after structural relaxation. Source: Alexandria, functional PBE-GGA.

E_tot (eV/atom): -5.332

Cell lengths 4.5547, 4.5547, 5.0287 Å; angles 90.00, 90.00, 90.00 degrees
Sites, in units of the cell vectors:
Mo: 0.0000 0.0000 0.0000
As: 0.5000 0.5000 0.5000
P: 0.0000 0.0000 0.5000
S: 0.0000 0.5000 0.0000
S: 0.5000 0.0000 0.0000